Entry 1:
## LuPuPb2 (PBE)

Data for a geometry-optimized LuPuPb2 structure.

Computed properties:
Crystal system = tetragonal
Uncorrected energy = -27.3 eV per cell
Total moment = 1.5174 μB/atom
N(E_F) = 2.480 states/eV per atom
Symmetry = No. 123

The structure in POSCAR format:
```
LuPuPb2
1.0
3.4865 0.0000 0.0000
0.0000 3.4865 0.0000
0.0000 0.0000 9.0587
Pb Lu Pu
2 1 1
direct
0.0000 0.0000 0.7581
0.0000 0.0000 0.2419
0.5000 0.5000 0.0000
0.5000 0.5000 0.5000
```

=====

Entry 2:
## CsH6IrPb (PBE)

Data for a geometry-optimized CsH6IrPb structure.

Computed properties:
Crystal system = trigonal
Uncorrected energy = -35.0 eV per cell
Total moment = 0.0000 μB/atom
N(E_F) = 0.000 states/eV per atom
Symmetry = No. 156

The structure in POSCAR format:
```
CsH6IrPb
1.0
5.1535 0.0000 -0.0001
2.5769 4.4630 0.0004
0.0006 0.0000 6.0224
Cs H Ir Pb
1 6 1 1
direct
0.0000 0.9999 0.9300
0.1771 0.1772 0.3627
0.4819 0.0362 0.6916
0.4818 0.4818 0.6918
0.0363 0.4817 0.6917
0.1769 0.6462 0.3631
0.6460 0.1771 0.3629
0.3333 0.3334 0.5155
0.6666 0.6667 0.3907
```

=====

Entry 3:
## LaCe2Ga6 (PBE)

Data for a geometry-optimized LaCe2Ga6 structure.

Computed properties:
Crystal system = hexagonal
Total moment = 0.1476 μB/atom
N(E_F) = 1.545 states/eV per atom
Energy relative to the lowest polymorph listed for this composition = 0.0 meV/atom
Symmetry = No. 191

The structure in POSCAR format:
```
LaCe2Ga6
1.0
4.2925 0.0000 0.0000
0.0000 6.4385 -3.7173
0.0000 0.0000 7.4345
La Ce Ga
1 2 6
direct
0.0000 0.0000 0.0000
0.0000 0.3333 0.6667
0.0000 0.6667 0.3333
0.5000 0.3352 0.3352
0.5000 0.6648 0.6648
0.5000 0.0000 0.6648
0.5000 0.6648 0.0000
0.5000 0.3352 0.0000
0.5000 0.0000 0.3352
```

=====

Entry 4:
## GdHfIrAu (PBE)

Data for a geometry-optimized GdHfIrAu structure.

Computed properties:
Crystal system = cubic
Uncorrected energy = -38.7 eV per cell
Total moment = 1.8122 μB/atom
N(E_F) = 0.730 states/eV per atom
Symmetry = No. 216

The structure in POSCAR format:
```
GdHfIrAu
1.0
-2.9221 -1.0222 3.7522
1.8816 -1.6677 4.1643
0.0409 2.8302 3.9561
Gd Hf Ir Au
1 1 1 1
direct
0.7500 0.7500 0.7500
0.2500 0.2500 0.2500
0.0000 0.0000 0.0000
0.5000 0.5000 0.5000
```

=====

Entry 5:
## Ce2Pu2Si4Ir (PBE)

Data for a geometry-optimized Ce2Pu2Si4Ir structure.

Computed properties:
Crystal system = tetragonal
Formation energy from raw total energies = -389 meV/atom
Total moment = 1.3567 μB/atom
N(E_F) = 2.295 states/eV per atom
Symmetry = No. 139

The structure in POSCAR format:
```
Ce2Pu2Si4Ir
1.0
6.4064 0.1895 0.2736
-2.9089 5.7110 -0.2736
-2.9089 -2.2626 5.2508
Ce Pu Si Ir
2 2 4 1
direct
0.5000 0.7500 0.2500
0.5000 0.2500 0.7500
0.0000 0.6717 0.6717
0.0000 0.3283 0.3283
0.0000 0.7550 0.2450
0.5100 0.7550 0.7550
0.0000 0.2450 0.7550
0.4900 0.2450 0.2450
0.0000 0.0000 0.0000
```

=====

Entry 6:
## Ga2Pd3Rh (PBE)

Data for a geometry-optimized Ga2Pd3Rh structure.

Computed properties:
Crystal system = orthorhombic
Uncorrected energy = -63.2 eV per cell
Total moment = 0.0000 μB/atom
N(E_F) = 0.633 states/eV per atom
Symmetry = No. 72

The structure in POSCAR format:
```
Ga2Pd3Rh
1.0
5.0007 0.0000 -2.0761
-0.8661 4.8804 -2.0863
0.1775 0.2695 7.4881
Ga Pd Rh
4 6 2
direct
0.3780 0.1328 0.2655
0.6220 0.8672 0.7345
0.1125 0.3672 0.7345
0.8875 0.6328 0.2655
0.4236 0.6764 0.3527
0.5764 0.3236 0.6473
0.0709 0.8236 0.6473
0.9291 0.1764 0.3527
0.5000 0.7500 0.0000
0.5000 0.2500 0.0000
0.0000 0.2500 0.0000
0.0000 0.7500 0.0000
```

=====

Entry 7:
## HfCdRh3 (PBE)

Data for a geometry-optimized HfCdRh3 structure.

Computed properties:
Crystal system = cubic
Total moment = 0.0919 μB/atom
N(E_F) = 1.111 states/eV per atom
Energy relative to the lowest polymorph listed for this composition = 536.4 meV/atom
Symmetry = No. 221

The structure in POSCAR format:
```
HfCdRh3
1.0
-2.8982 2.0790 3.1250
-3.7346 -1.2026 -2.6635
-0.3752 -4.0889 2.3723
Rh Hf Cd
3 1 1
direct
0.0000 0.5000 0.0000
0.0000 0.0000 0.5000
0.5000 0.0000 0.0000
0.5000 0.5000 0.5000
0.0000 0.0000 0.0000
```

=====

Entry 8:
## KFe2Cu (PBE)

Data for a geometry-optimized KFe2Cu structure.

Computed properties:
Crystal system = trigonal
Total moment = 1.1552 μB/atom
N(E_F) = 0.775 states/eV per atom
Energy relative to the lowest polymorph listed for this composition = 284.3 meV/atom
Symmetry = No. 166

The structure in POSCAR format:
```
KFe2Cu
1.0
10.1053 0.0123 0.0072
9.7456 2.6721 0.0072
9.7456 1.3179 2.3245
Cu Fe K
1 2 1
direct
0.7500 0.7500 0.7500
0.0144 0.0144 0.0144
0.4856 0.4856 0.4856
0.2500 0.2500 0.2500
```

=====

Entry 9:
## Ho2SbI2 (PBE)

Data for a geometry-optimized Ho2SbI2 structure.

Computed properties:
Crystal system = trigonal
Formation energy from raw total energies = -1239 meV/atom
Total moment = 0.0000 μB/atom
N(E_F) = 0.366 states/eV per atom
Symmetry = No. 166

The structure in POSCAR format:
```
Ho2SbI2
1.0
4.3224 0.0000 0.0000
2.1612 3.7433 0.0000
2.1612 1.2478 11.2377
Ho Sb I
2 1 2
direct
0.6169 0.6169 0.1492
0.3831 0.3831 0.8508
0.0000 0.0000 0.0000
0.2261 0.2261 0.3216
0.7739 0.7739 0.6784
```

=====

Entry 10:
## Rb2PdSO (PBE)

Data for a geometry-optimized Rb2PdSO structure.

Computed properties:
Crystal system = tetragonal
Formation energy from raw total energies = -268 meV/atom
Total moment = 0.0424 μB/atom
N(E_F) = 2.293 states/eV per atom
Symmetry = No. 123

The structure in POSCAR format:
```
Rb2PdSO
1.0
6.3883 0.0000 0.0000
0.0000 4.3829 0.0000
0.0000 0.0000 6.3883
O S Rb Pd
1 1 2 1
direct
0.5000 0.5000 0.5000
0.0000 0.0000 0.0000
0.0000 0.0000 0.5000
0.5000 0.0000 0.0000
0.0000 0.5000 0.0000
```

=====

Entry 11:
## Al2Hg (PBE)

Data for a geometry-optimized Al2Hg structure.

Computed properties:
Crystal system = cubic
Total moment = 0.0000 μB/atom
N(E_F) = 0.652 states/eV per atom
Energy relative to the lowest polymorph listed for this composition = 239.3 meV/atom
Symmetry = No. 205

The structure in POSCAR format:
```
Al2Hg
1.0
6.4786 0.0000 0.0000
0.0000 6.4786 0.0000
0.0000 0.0000 6.4786
Hg Al
4 8
direct
0.0000 0.0000 0.0000
0.5000 0.5000 0.0000
0.5000 0.0000 0.5000
0.0000 0.5000 0.5000
0.6225 0.6225 0.3775
0.3775 0.3775 0.6225
0.1225 0.8775 0.6225
0.8775 0.1225 0.3775
0.3775 0.1225 0.1225
0.6225 0.8775 0.8775
0.8775 0.3775 0.8775
0.1225 0.6225 0.1225
```

=====

Entry 12:
## Ce2Ru2Pt (PBE)

Data for a geometry-optimized Ce2Ru2Pt structure.

Computed properties:
Crystal system = monoclinic
Total moment = 0.0000 μB/atom
N(E_F) = 1.238 states/eV per atom
Energy relative to the lowest polymorph listed for this composition = 205.9 meV/atom
Symmetry = No. 12

The structure in POSCAR format:
```
Ce2Ru2Pt
1.0
3.7048 0.3563 0.3000
-0.4386 3.6959 0.3000
-0.5900 -0.7320 7.5887
Ce Ru Pt
2 2 1
direct
0.5027 0.5027 0.2204
0.4973 0.4973 0.7796
0.2287 0.7713 0.5000
0.7713 0.2287 0.5000
0.0000 0.0000 0.0000
```

=====

Entry 13:
## Sm3Er (PBE)

Data for a geometry-optimized Sm3Er structure.

Computed properties:
Crystal system = cubic
Total moment = 0.0003 μB/atom
N(E_F) = 2.452 states/eV per atom
Energy relative to the lowest polymorph listed for this composition = 123.1 meV/atom
Symmetry = No. 225

The structure in POSCAR format:
```
Sm3Er
1.0
-2.3528 -2.0674 4.7973
2.9544 -3.6281 3.3065
1.9398 1.7140 5.1111
Sm Er
3 1
direct
0.0000 0.0000 0.0000
0.7500 0.7500 0.7500
0.2500 0.2500 0.2500
0.5000 0.5000 0.5000
```

=====

Entry 14:
## CrPbS2 (PBE)

Data for a geometry-optimized CrPbS2 structure.

Computed properties:
Crystal system = orthorhombic
Formation energy from raw total energies = -206 meV/atom
Total moment = 0.0000 μB/atom
N(E_F) = 0.897 states/eV per atom
Symmetry = No. 63

The structure in POSCAR format:
```
CrPbS2
1.0
12.7545 4.4471 -4.9032
-13.1361 -1.5574 5.6136
1.4719 -0.6107 3.2750
Pb Cr S
2 2 4
direct
0.0577 0.9423 0.2500
0.9423 0.0577 0.7500
0.3038 0.6962 0.2500
0.6962 0.3038 0.7500
0.2199 0.7801 0.2500
0.7801 0.2199 0.7500
0.8644 0.1356 0.2500
0.1356 0.8644 0.7500
```

=====

Entry 15:
## NaAg7F12 (PBE)

Data for a geometry-optimized NaAg7F12 structure.

Computed properties:
Crystal system = cubic
Formation energy from raw total energies = -1253 meV/atom
Total moment = 0.1378 μB/atom
N(E_F) = 0.784 states/eV per atom
Symmetry = No. 204

The structure in POSCAR format:
```
NaAg7F12
1.0
-0.5104 -4.1024 6.1687
1.6938 -4.3800 -5.7524
5.3115 5.1173 0.8630
Na Ag F
1 7 12
direct
0.0000 0.0000 0.0000
0.5000 0.0000 0.5000
0.5000 0.5000 0.0000
0.0000 0.5000 0.5000
0.0000 0.0000 0.5000
0.5000 0.0000 0.0000
0.5000 0.5000 0.5000
0.0000 0.5000 0.0000
0.3032 0.1734 0.4766
0.3032 0.8266 0.1299
0.6968 0.8266 0.5234
0.6968 0.1734 0.8701
0.4766 0.3032 0.1734
0.8701 0.6968 0.1734
0.5234 0.6968 0.8266
0.1299 0.3032 0.8266
0.8266 0.1299 0.3032
0.1734 0.8701 0.6968
0.1734 0.4766 0.3032
0.8266 0.5234 0.6968
```

=====

Entry 16:
## Sc3BeW (PBE)

Data for a geometry-optimized Sc3BeW structure.

Computed properties:
Crystal system = cubic
Total moment = 0.0000 μB/atom
N(E_F) = 1.526 states/eV per atom
Energy relative to the lowest polymorph listed for this composition = 0.0 meV/atom
Symmetry = No. 221

The structure in POSCAR format:
```
Sc3BeW
1.0
4.6706 0.0000 0.0000
0.0000 4.6706 0.0000
0.0000 0.0000 4.6706
Sc Be W
3 1 1
direct
0.0000 0.5000 0.0000
0.0000 0.0000 0.5000
0.5000 0.0000 0.0000
0.0000 0.0000 0.0000
0.5000 0.5000 0.5000
```

=====

Entry 17:
## CsTe2Pb (PBE)

Data for a geometry-optimized CsTe2Pb structure.

Computed properties:
Crystal system = trigonal
Formation energy from raw total energies = -114 meV/atom
Total moment = 0.2339 μB/atom
N(E_F) = 0.510 states/eV per atom
Symmetry = No. 166

The structure in POSCAR format:
```
CsTe2Pb
1.0
9.5488 -0.0088 -0.0055
7.5215 5.8828 -0.0055
7.5215 2.5882 5.2829
Pb Cs Te
1 1 2
direct
0.0000 0.0000 0.0000
0.5000 0.5000 0.5000
0.8941 0.8941 0.8941
0.1059 0.1059 0.1059
```

=====

Entry 18:
## Tm4Pt2N (PBE)

Data for a geometry-optimized Tm4Pt2N structure.

Computed properties:
Crystal system = tetragonal
Formation energy from raw total energies = -839 meV/atom
Total moment = 0.0000 μB/atom
N(E_F) = 0.524 states/eV per atom
Symmetry = No. 139

The structure in POSCAR format:
```
Tm4Pt2N
1.0
-2.4956 1.7635 3.1534
-2.7625 -3.4015 -0.2839
1.7071 -4.8135 7.1001
Tm Pt N
4 2 1
direct
0.3142 0.3142 0.3716
0.6858 0.6858 0.6284
0.0000 0.5000 0.0000
0.5000 0.0000 0.0000
0.1450 0.1450 0.7100
0.8550 0.8550 0.2900
0.0000 0.0000 0.0000
```

=====

Entry 19:
## SrTe2Cl2 (PBE)

Data for a geometry-optimized SrTe2Cl2 structure.

Computed properties:
Crystal system = tetragonal
Formation energy from raw total energies = -591 meV/atom
Total moment = 0.0000 μB/atom
N(E_F) = 1.000 states/eV per atom
Symmetry = No. 139

The structure in POSCAR format:
```
SrTe2Cl2
1.0
6.1541 4.0282 1.5025
0.6006 7.3965 -1.1349
-4.5587 -5.1184 3.0623
Sr Te Cl
1 2 2
direct
0.0000 0.0000 0.0000
0.6028 0.6028 0.0000
0.3972 0.3972 0.0000
0.2500 0.7500 0.5000
0.7500 0.2500 0.5000
```

=====

Entry 20:
## Ca3YCo (PBE)

Data for a geometry-optimized Ca3YCo structure.

Computed properties:
Crystal system = cubic
Total moment = 0.0000 μB/atom
N(E_F) = 0.875 states/eV per atom
Energy relative to the lowest polymorph listed for this composition = 0.0 meV/atom
Symmetry = No. 221

The structure in POSCAR format:
```
Ca3YCo
1.0
-2.9516 -4.1733 1.8169
4.0583 -3.3934 -1.2017
2.0609 0.7054 4.9683
Y Ca Co
1 3 1
direct
0.5000 0.5000 0.5000
0.0000 0.5000 0.0000
0.0000 0.0000 0.5000
0.5000 0.0000 0.0000
0.0000 0.0000 0.0000
```

=====

Entry 21:
## DyPuCo (PBE)

Data for a geometry-optimized DyPuCo structure.

Computed properties:
Crystal system = monoclinic
Total moment = 0.0141 μB/atom
N(E_F) = 1.674 states/eV per atom
Energy relative to the lowest polymorph listed for this composition = 184.7 meV/atom
Symmetry = No. 8

The structure in POSCAR format:
```
DyPuCo
1.0
3.5323 0.0000 0.0000
-1.7661 5.7095 0.2259
0.0000 -3.0985 6.2754
Co Pu Dy
2 2 2
direct
0.6261 0.2522 0.9295
0.2144 0.4289 0.8337
0.1067 0.2133 0.4837
0.5837 0.1675 0.2326
0.9001 0.8002 0.7791
0.3255 0.6511 0.2481
```

=====

Entry 22:
## Y2AlHgB (PBE)

Data for a geometry-optimized Y2AlHgB structure.

Computed properties:
Crystal system = tetragonal
Uncorrected energy = -25.3 eV per cell
Total moment = 0.0000 μB/atom
N(E_F) = 1.020 states/eV per atom
Symmetry = No. 123

The structure in POSCAR format:
```
Y2AlHgB
1.0
-4.8134 -1.0535 1.4971
1.1286 -5.0237 0.0937
1.1478 0.3310 3.9234
Y B Hg Al
2 1 1 1
direct
0.0000 0.5000 0.0000
0.5000 0.0000 0.0000
0.0000 0.0000 0.0000
0.5000 0.5000 0.5000
0.0000 0.0000 0.5000
```

=====

Entry 23:
## RbMgBr2Cl (PBE)

Data for a geometry-optimized RbMgBr2Cl structure.

Computed properties:
Crystal system = tetragonal
Formation energy from raw total energies = -1676 meV/atom
Total moment = 0.0000 μB/atom
N(E_F) = 0.000 states/eV per atom
Energy relative to the lowest polymorph listed for this composition = 0.0 meV/atom
Symmetry = No. 123

The structure in POSCAR format:
```
RbMgBr2Cl
1.0
-1.8251 3.8312 -3.3941
-4.0356 -3.2935 -1.5477
-2.8979 1.8417 3.6371
Mg Br Rb Cl
1 2 1 1
direct
0.0000 0.0000 0.0000
0.0000 0.5000 0.0000
0.5000 0.0000 0.0000
0.5000 0.5000 0.5000
0.0000 0.0000 0.5000
```

=====

Entry 24:
## Fe3PPb (PBE)

Data for a geometry-optimized Fe3PPb structure.

Computed properties:
Crystal system = cubic
Total moment = 1.7580 μB/atom
N(E_F) = 1.961 states/eV per atom
Energy relative to the lowest polymorph listed for this composition = 1473.1 meV/atom
Symmetry = No. 221

The structure in POSCAR format:
```
Fe3PPb
1.0
-4.8497 -0.1762 -0.5476
-0.4034 -2.2733 4.3035
-0.4101 4.3188 2.2429
Pb P Fe
1 1 3
direct
0.0000 0.0000 0.0000
0.5000 0.5000 0.5000
0.0000 0.5000 0.0000
0.0000 0.0000 0.5000
0.5000 0.0000 0.0000
```

=====

Entry 25:
## TmCdBi (PBE)

Data for a geometry-optimized TmCdBi structure.

Computed properties:
Crystal system = trigonal
Total moment = 0.0000 μB/atom
N(E_F) = 0.165 states/eV per atom
Energy relative to the lowest polymorph listed for this composition = 0.0 meV/atom
Symmetry = No. 156

The structure in POSCAR format:
```
TmCdBi
1.0
-0.6572 0.3005 -4.3112
4.4180 -1.5232 -0.7797
-3.5564 -3.1133 0.3251
Tm Bi Cd
1 1 1
direct
0.3056 0.3333 0.6667
0.6937 0.6667 0.3333
0.0007 0.0000 0.0000
```

=====

Entry 26:
## TcTe4W (PBE)

Data for a geometry-optimized TcTe4W structure.

Computed properties:
Crystal system = monoclinic
Formation energy from raw total energies = -147 meV/atom
Total moment = 0.1287 μB/atom
N(E_F) = 0.543 states/eV per atom
Energy relative to the lowest polymorph listed for this composition = 0.0 meV/atom
Symmetry = No. 8

The structure in POSCAR format:
```
TcTe4W
1.0
-0.1108 -2.1296 2.8097
6.9906 -1.7637 -3.2755
1.4785 4.8558 3.7386
Tc Te W
1 4 1
direct
0.5058 0.0118 0.4368
0.9037 0.8074 0.6235
0.1340 0.2681 0.4012
0.3649 0.7297 0.1029
0.5972 0.1944 0.8701
0.9944 0.9886 0.0655
```

=====

Entry 27:
## K3CaTl (PBE)

Data for a geometry-optimized K3CaTl structure.

Computed properties:
Crystal system = cubic
Total moment = 0.0000 μB/atom
N(E_F) = 0.847 states/eV per atom
Energy relative to the lowest polymorph listed for this composition = 0.0 meV/atom
Symmetry = No. 221

The structure in POSCAR format:
```
K3CaTl
1.0
-5.0972 -3.0815 -3.1699
2.8382 -5.9903 1.2595
-3.3895 -0.3819 5.8216
K Tl Ca
3 1 1
direct
0.0000 0.5000 0.0000
0.0000 0.0000 0.5000
0.5000 0.0000 0.0000
0.0000 0.0000 0.0000
0.5000 0.5000 0.5000
```